[1]
The following is a PBE-GGA calculation of a geometry-optimized Ce6AlGa5 structure, from Alexandria via LeMat-Bulk.

Unit cell a=5.510 b=6.269 c=9.252 alpha=109.80 beta=107.32 gamma=90.00
Site moments in Bohr magnetons follow the coordinates.
Fractional positions:
1 Ga 0.663 0.163 0.326  0.02
2 Ga 0.668 0.668 0.336  0.01
3 Ga 0.000 0.500 0.000  0.01
4 Ga 0.332 0.332 0.664  0.01
5 Ga 0.337 0.837 0.674  0.02
6 Ce 0.500 0.734 0.000  0.68
7 Ce 0.832 0.089 0.663  0.73
8 Ce 0.168 0.911 0.337  0.73
9 Ce 0.500 0.266 0.000  0.68
10 Ce 0.832 0.574 0.663  0.73
11 Ce 0.168 0.426 0.337  0.73
12 Al 0.000 0.000 0.000  0.01

Computed properties:
ΔE_f ... -0.4085 eV per atom
Total moment ... 5.54 μB/f.u.
Calculated density ... 7.08 Mg/m³
VASP energy ... -59.383 eV per formula unit

[2]
The following is a PBE-GGA calculation of a geometry-optimized YIn2As structure, from Alexandria via LeMat-Bulk.

Unit cell a=4.057 b=4.076 c=6.620 alpha=73.00 beta=90.00 gamma=90.00
Fractional positions:
1 Y 0.000 0.530 0.589
2 In 0.000 0.776 0.045
3 In 0.500 0.196 0.211
4 As 0.500 0.998 0.655

Computed properties:
ΔE_f ... -0.5136 eV per atom
Total moment ... 0.00 μB/f.u.
Calculated density ... 6.24 Mg/m³
VASP energy ... -18.645 eV per formula unit

[3]
The following is a PBE-GGA calculation of a geometry-optimized LaCrCo structure, from Alexandria via LeMat-Bulk.

Unit cell a=3.857 b=3.857 c=4.672 alpha=90.00 beta=90.00 gamma=120.00
Fractional positions:
1 La 0.333 0.667 0.667
2 Cr 0.667 0.333 0.167
3 Co 0.000 0.000 0.167

Computed properties:
ΔE_f ... 0.2366 eV per atom
Total moment ... 0.00 μB/f.u.
Calculated density ... 6.89 Mg/m³
VASP energy ... -20.947 eV per formula unit

[4]
The following is a PBE-GGA calculation of a geometry-optimized Nd3YF structure, from Alexandria via LeMat-Bulk.

Unit cell a=5.187 b=5.187 c=5.187 alpha=90.00 beta=90.00 gamma=90.00
Fractional positions:
1 Nd 0.500 0.000 0.000
2 Nd 0.000 0.000 0.500
3 Nd 0.000 0.500 0.000
4 Y 0.500 0.500 0.500
5 F 0.000 0.000 0.000

Computed properties:
Total moment ... 0.00 μB/f.u.
Calculated density ... 6.43 Mg/m³
Formation energy without anion corrections ... -0.98 eV/atom
VASP energy ... -27.552 eV per formula unit

[5]
The following is a PBE-GGA calculation of a geometry-optimized MnFe2Pb structure, from Alexandria via LeMat-Bulk.

Unit cell a=4.989 b=4.989 c=4.989 alpha=47.90 beta=47.90 gamma=47.90
Site moments in Bohr magnetons follow the coordinates.
Fractional positions:
1 Fe 0.209 0.209 0.209  1.38
2 Fe 0.970 0.970 0.970  2.54
3 Mn 0.560 0.560 0.560  1.81
4 Pb 0.761 0.761 0.761  -0.09

Computed properties:
ΔE_f ... 0.5347 eV per atom
Total moment ... 5.65 μB/f.u.
Calculated density ... 9.92 Mg/m³
VASP energy ... -27.665 eV per formula unit

[6]
The following is a PBE-GGA calculation of a geometry-optimized TiTl3Te3 structure, from Alexandria via LeMat-Bulk.

Unit cell a=7.094 b=10.725 c=14.209 alpha=90.00 beta=90.00 gamma=109.31
Fractional positions:
1 Te 0.470 0.320 0.617
2 Te 0.849 0.320 0.383
3 Te 0.738 0.000 0.592
4 Te 0.970 0.320 0.883
5 Te 0.349 0.320 0.117
6 Te 0.651 0.680 0.883
7 Te 0.762 0.000 0.092
8 Te 0.151 0.680 0.617
9 Te 0.262 0.000 0.408
10 Te 0.238 0.000 0.908
11 Te 0.030 0.680 0.117
12 Te 0.530 0.680 0.383
13 Tl 0.195 0.000 0.667
14 Tl 0.002 0.652 0.368
15 Tl 0.695 0.000 0.833
16 Tl 0.502 0.652 0.132
17 Tl 0.998 0.348 0.632
18 Tl 0.498 0.348 0.868
19 Tl 0.650 0.652 0.632
20 Tl 0.150 0.652 0.868
21 Tl 0.805 0.000 0.333
22 Tl 0.350 0.348 0.368
23 Tl 0.850 0.348 0.132
24 Tl 0.305 0.000 0.167
25 Ti 0.082 0.163 0.000
26 Ti 0.418 0.837 0.500
27 Ti 0.918 0.837 0.000
28 Ti 0.582 0.163 0.500

Computed properties:
Total moment ... 0.05 μB/f.u.
Calculated density ... 6.80 Mg/m³
Formation energy without anion corrections ... -0.39 eV/atom
VASP energy ... -27.128 eV per formula unit

[7]
The following is a PBE-GGA calculation of a geometry-optimized ZnFe2Ag structure, from Alexandria via LeMat-Bulk.

Unit cell a=5.078 b=5.078 c=5.078 alpha=146.84 beta=127.38 gamma=63.63
Site moments in Bohr magnetons follow the coordinates.
Fractional positions:
1 Zn 0.511 0.511 0.000  -0.07
2 Fe 0.763 0.263 0.500  2.56
3 Fe 0.978 0.978 0.000  2.58
4 Ag 0.247 0.747 0.500  0.00

Computed properties:
ΔE_f ... 0.2395 eV per atom
Total moment ... 5.03 μB/f.u.
Calculated density ... 8.41 Mg/m³
VASP energy ... -20.092 eV per formula unit

[8]
The following is a PBE-GGA calculation of a geometry-optimized Mn2CuTc structure, from Alexandria via LeMat-Bulk.

Unit cell a=4.559 b=4.559 c=4.413 alpha=76.14 beta=76.14 gamma=34.03
Site moments in Bohr magnetons follow the coordinates.
Fractional positions:
1 Cu 0.257 0.257 0.232  0.03
2 Mn 0.013 0.013 0.007  1.44
3 Mn 0.738 0.738 0.746  1.41
4 Tc 0.493 0.493 0.516  -0.37

Computed properties:
ΔE_f ... 0.2372 eV per atom
Total moment ... 2.55 μB/f.u.
Calculated density ... 9.07 Mg/m³
VASP energy ... -31.852 eV per formula unit

[9]
The following is a PBE-GGA calculation of a geometry-optimized Tb2Al5Ni2Pd structure, from Alexandria via LeMat-Bulk.

Unit cell a=4.001 b=9.272 c=9.272 alpha=90.00 beta=90.00 gamma=90.00
Fractional positions:
1 Al 0.500 0.292 0.560
2 Al 0.500 0.060 0.792
3 Al 0.500 0.440 0.292
4 Al 0.500 0.560 0.708
5 Al 0.500 0.500 0.000
6 Al 0.500 0.708 0.440
7 Al 0.500 0.000 0.500
8 Al 0.500 0.940 0.208
9 Al 0.500 0.792 0.940
10 Al 0.500 0.208 0.060
11 Pd 0.000 0.000 0.000
12 Pd 0.000 0.500 0.500
13 Ni 0.000 0.389 0.111
14 Ni 0.000 0.889 0.389
15 Ni 0.000 0.111 0.611
16 Ni 0.000 0.611 0.889
17 Tb 0.000 0.318 0.818
18 Tb 0.000 0.182 0.318
19 Tb 0.000 0.682 0.182
20 Tb 0.000 0.818 0.682

Computed properties:
ΔE_f ... -0.6025 eV per atom
Total moment ... 0.00 μB/f.u.
Calculated density ... 6.53 Mg/m³
VASP energy ... -50.754 eV per formula unit

[10]
The following is a PBE-GGA calculation of a geometry-optimized Li3In structure, from Alexandria via LeMat-Bulk.

Unit cell a=5.256 b=5.256 c=5.256 alpha=134.07 beta=134.07 gamma=66.98
Fractional positions:
1 Li 0.500 0.500 0.000
2 Li 0.250 0.750 0.500
3 Li 0.750 0.250 0.500
4 In 0.000 0.000 0.000

Computed properties:
ΔE_f ... -0.2365 eV per atom
Total moment ... 0.00 μB/f.u.
Calculated density ... 3.05 Mg/m³
VASP energy ... -9.426 eV per formula unit

[11]
The following is a PBE-GGA calculation of a geometry-optimized NdTm4Si4 structure, from Alexandria via LeMat-Bulk.

Unit cell a=5.638 b=9.138 c=9.138 alpha=90.00 beta=90.00 gamma=90.00
Fractional positions:
1 Nd 0.000 0.000 0.000
2 Nd 0.500 0.500 0.500
3 Tm 0.121 0.850 0.391
4 Tm 0.621 0.109 0.350
5 Tm 0.621 0.891 0.650
6 Tm 0.879 0.391 0.150
7 Tm 0.121 0.150 0.609
8 Tm 0.879 0.609 0.850
9 Tm 0.379 0.350 0.891
10 Tm 0.379 0.650 0.109
11 Si 0.116 0.155 0.294
12 Si 0.884 0.706 0.155
13 Si 0.116 0.845 0.706
14 Si 0.616 0.206 0.655
15 Si 0.616 0.794 0.345
16 Si 0.884 0.294 0.845
17 Si 0.384 0.345 0.206
18 Si 0.384 0.655 0.794

Computed properties:
Total moment ... 0.00 μB/f.u.
Calculated density ... 6.58 Mg/m³
Formation energy without anion corrections ... -0.48 eV/atom
VASP energy ... -48.657 eV per formula unit

[12]
The following is a PBE-GGA calculation of a geometry-optimized LaTi2Nb2 structure, from Alexandria via LeMat-Bulk.

Unit cell a=8.226 b=8.226 c=3.141 alpha=90.00 beta=90.00 gamma=90.00
Fractional positions:
1 Nb 0.357 0.857 0.000
2 Nb 0.857 0.643 0.000
3 Nb 0.643 0.143 0.000
4 Nb 0.143 0.357 0.000
5 Ti 0.864 0.364 0.500
6 Ti 0.364 0.136 0.500
7 Ti 0.136 0.636 0.500
8 Ti 0.636 0.864 0.500
9 La 0.000 0.000 0.000
10 La 0.500 0.500 0.000

Computed properties:
ΔE_f ... 0.2762 eV per atom
Total moment ... 0.00 μB/f.u.
Calculated density ... 6.57 Mg/m³
VASP energy ... -39.476 eV per formula unit

[13]
The following is a PBE-GGA calculation of a geometry-optimized Sr3AcIr8 structure, from Alexandria via LeMat-Bulk.

Unit cell a=5.507 b=5.507 c=9.534 alpha=73.21 beta=73.21 gamma=60.00
Fractional positions:
1 Sr 0.498 0.498 0.506
2 Sr 0.002 0.002 0.995
3 Sr 0.375 0.375 0.876
4 Ir 0.688 0.688 0.937
5 Ir 0.438 0.438 0.186
6 Ir 0.938 0.938 0.688
7 Ir 0.938 0.436 0.688
8 Ir 0.438 0.938 0.186
9 Ir 0.938 0.438 0.186
10 Ir 0.436 0.938 0.688
11 Ir 0.187 0.187 0.438
12 Ac 0.875 0.875 0.375

Computed properties:
ΔE_f ... -0.3430 eV per atom
Total moment ... 0.00 μB/f.u.
Calculated density ... 14.26 Mg/m³
VASP energy ... -84.158 eV per formula unit

[14]
The following is a PBE-GGA calculation of a geometry-optimized LiGaRuAu structure, from Alexandria via LeMat-Bulk.

Unit cell a=4.303 b=4.303 c=4.303 alpha=60.00 beta=60.00 gamma=60.00
Fractional positions:
1 Ru 0.750 0.750 0.750
2 Au 0.250 0.250 0.250
3 Li 0.500 0.500 0.500
4 Ga 0.000 0.000 0.000

Computed properties:
ΔE_f ... -0.2512 eV per atom
Total moment ... 0.00 μB/f.u.
Calculated density ... 11.05 Mg/m³
VASP energy ... -18.499 eV per formula unit

[15]
The following is a PBE-GGA calculation of a geometry-optimized PrTm2Tl3S6 structure, from Alexandria via LeMat-Bulk.

Unit cell a=7.027 b=7.027 c=7.872 alpha=98.55 beta=98.55 gamma=119.96
Fractional positions:
1 Tm 0.333 0.667 0.000
2 Tm 0.667 0.333 0.000
3 S 0.282 0.282 0.804
4 S 0.414 0.066 0.199
5 S 0.718 0.718 0.196
6 S 0.586 0.934 0.801
7 S 0.066 0.414 0.199
8 S 0.934 0.586 0.801
9 Tl 0.835 0.165 0.500
10 Tl 0.500 0.500 0.500
11 Tl 0.165 0.835 0.500
12 Pr 0.000 0.000 0.000

Computed properties:
Total moment ... 0.00 μB/f.u.
Calculated density ... 6.63 Mg/m³
Formation energy without anion corrections ... -1.47 eV/atom
VASP energy ... -63.206 eV per formula unit

[16]
The following is a PBE-GGA calculation of a geometry-optimized PmPr5Se6 structure, from Alexandria via LeMat-Bulk.

Unit cell a=7.355 b=7.368 c=7.383 alpha=60.07 beta=80.34 gamma=70.35
Fractional positions:
1 Pr 0.000 0.333 0.334
2 Pr 0.500 0.169 0.662
3 Pr 0.000 0.667 0.666
4 Pr 0.500 0.500 0.000
5 Pr 0.500 0.831 0.338
6 Pm 0.000 0.000 0.000
7 Se 0.247 0.918 0.671
8 Se 0.753 0.082 0.329
9 Se 0.249 0.247 0.000
10 Se 0.247 0.588 0.329
11 Se 0.753 0.412 0.671
12 Se 0.751 0.753 0.000

Computed properties:
Total moment ... 0.00 μB/f.u.
Calculated density ... 6.73 Mg/m³
Formation energy without anion corrections ... -1.85 eV/atom
VASP energy ... -71.696 eV per formula unit

[17]
The following is a PBE-GGA calculation of a geometry-optimized KRe2Si structure, from Alexandria via LeMat-Bulk.

Unit cell a=2.617 b=5.138 c=5.314 alpha=90.00 beta=90.00 gamma=90.00
Fractional positions:
1 Si 0.500 0.000 0.500
2 Re 0.500 0.500 0.000
3 Re 0.000 0.000 0.000
4 K 0.000 0.500 0.500

Computed properties:
Total moment ... 0.00 μB/f.u.
Calculated density ... 10.22 Mg/m³
Formation energy without anion corrections ... 1.46 eV/atom
VASP energy ... -25.569 eV per formula unit

[18]
The following is a PBE-GGA calculation of a geometry-optimized VNi2Pd8 structure, from Alexandria via LeMat-Bulk.

Unit cell a=4.491 b=6.516 c=6.516 alpha=83.26 beta=77.92 gamma=77.92
Site moments in Bohr magnetons follow the coordinates.
Fractional positions:
1 Ni 0.515 0.870 0.870  0.28
2 Ni 0.485 0.130 0.130  0.28
3 Pd 0.101 0.740 0.740  0.03
4 Pd 0.697 0.585 0.585  0.03
5 Pd 0.801 0.671 0.155  0.04
6 Pd 0.899 0.260 0.260  0.03
7 Pd 0.199 0.329 0.845  0.04
8 Pd 0.199 0.845 0.329  0.04
9 Pd 0.801 0.155 0.671  0.04
10 Pd 0.303 0.415 0.415  0.03
11 V 0.000 0.000 0.000  -0.10

Computed properties:
ΔE_f ... 0.2110 eV per atom
Total moment ... 0.71 μB/f.u.
Calculated density ... 9.32 Mg/m³
VASP energy ... -59.902 eV per formula unit

[19]
The following is a PBE-GGA calculation of a geometry-optimized Sr2MoS2 structure, from Alexandria via LeMat-Bulk.

Unit cell a=5.938 b=5.938 c=6.381 alpha=62.27 beta=62.27 gamma=90.00
Site moments in Bohr magnetons follow the coordinates.
Fractional positions:
1 S 0.253 0.253 0.493  0.02
2 S 0.747 0.747 0.507  0.02
3 Sr 0.750 0.250 0.500  0.02
4 Sr 0.250 0.750 0.500  0.02
5 Mo 0.000 0.000 0.000  3.01

Computed properties:
Total moment ... 4.00 μB/f.u.
Calculated density ... 3.29 Mg/m³
Formation energy without anion corrections ... -0.69 eV/atom
VASP energy ... -25.904 eV per formula unit

[20]
The following is a PBE-GGA calculation of a geometry-optimized TmMg5Sc4 structure, from Alexandria via LeMat-Bulk.

Unit cell a=3.619 b=3.619 c=18.243 alpha=90.00 beta=90.00 gamma=90.00
Fractional positions:
1 Mg 0.500 0.500 0.304
2 Mg 0.500 0.500 0.110
3 Mg 0.500 0.500 0.696
4 Mg 0.500 0.500 0.890
5 Mg 0.500 0.500 0.500
6 Tm 0.000 0.000 0.000
7 Sc 0.000 0.000 0.598
8 Sc 0.000 0.000 0.794
9 Sc 0.000 0.000 0.402
10 Sc 0.000 0.000 0.206

Computed properties:
ΔE_f ... -0.0430 eV per atom
Total moment ... 0.00 μB/f.u.
Calculated density ... 3.27 Mg/m³
VASP energy ... -38.201 eV per formula unit

[21]
The following is a PBE-GGA calculation of a geometry-optimized Ta2PbSe structure, from Alexandria via LeMat-Bulk.

Unit cell a=9.160 b=9.160 c=9.160 alpha=20.05 beta=20.05 gamma=20.05
Fractional positions:
1 Ta 0.490 0.490 0.490
2 Ta 0.010 0.010 0.010
3 Pb 0.250 0.250 0.250
4 Se 0.750 0.750 0.750

Computed properties:
Total moment ... 0.00 μB/f.u.
Calculated density ... 13.62 Mg/m³
Formation energy without anion corrections ... 0.29 eV/atom
VASP energy ... -29.741 eV per formula unit

[22]
The following is a PBE-GGA calculation of a geometry-optimized Tl3HgRh structure, from Alexandria via LeMat-Bulk.

Unit cell a=5.465 b=5.417 c=9.937 alpha=102.66 beta=65.97 gamma=106.02
Fractional positions:
1 Rh 0.816 0.049 0.664
2 Rh 0.844 0.892 0.941
3 Tl 0.309 0.940 0.632
4 Tl 0.353 0.005 0.969
5 Tl 0.898 0.796 0.373
6 Tl 0.672 0.533 0.713
7 Tl 0.450 0.587 0.159
8 Tl 0.009 0.409 0.885
9 Hg 0.241 0.366 0.459
10 Hg 0.762 0.187 0.226

Computed properties:
ΔE_f ... 0.0463 eV per atom
Total moment ... 0.00 μB/f.u.
Calculated density ... 11.88 Mg/m³
VASP energy ... -14.521 eV per formula unit

[23]
The following is a PBE-GGA calculation of a geometry-optimized PrSmY5 structure, from Alexandria via LeMat-Bulk.

Unit cell a=6.597 b=6.597 c=11.849 alpha=105.53 beta=105.53 gamma=95.37
Fractional positions:
1 Pr 0.000 0.000 0.500
2 Pr 0.000 0.000 0.000
3 Y 0.764 0.467 0.036
4 Y 0.533 0.236 0.464
5 Y 0.163 0.837 0.250
6 Y 0.837 0.163 0.750
7 Y 0.467 0.764 0.536
8 Y 0.971 0.612 0.665
9 Y 0.612 0.971 0.165
10 Y 0.388 0.029 0.835
11 Y 0.029 0.388 0.335
12 Y 0.236 0.533 0.964
13 Sm 0.492 0.508 0.750
14 Sm 0.508 0.492 0.250

Computed properties:
ΔE_f ... 0.0974 eV per atom
Total moment ... 0.00 μB/f.u.
Calculated density ... 5.19 Mg/m³
VASP energy ... -41.137 eV per formula unit